# 1
## MnCuHg (GGA-PBEsol)

Data for an optimized crystal structure of MnCuHg.

Formation enthalpy at 0 K = 0.620 eV per atom
Theoretical density = 9.88 Mg/m³

Unit cell a=4.2326 b=4.2326 c=4.2326 alpha=60.00 beta=60.00 gamma=60.00
Last column: nearest neighbours and their distance in Å.
Element x y z (fractional)
1 Cu 0.0000 0.0000 0.0000  4 Mn 2.59
2 Hg 0.5000 0.5000 0.5000  4 Mn 2.59
3 Mn 0.2500 0.2500 0.2500  4 Hg 2.59, 4 Cu 2.59

# 2
## MnCuHg2 (GGA-PBEsol)

Data for an optimized crystal structure of MnCuHg2.

Formation enthalpy at 0 K = 0.290 eV per atom
Theoretical density = 12.88 Mg/m³

Unit cell a=3.1421 b=4.5905 c=5.4129 alpha=115.09 beta=106.87 gamma=90.00
Last column: nearest neighbours and their distance in Å.
Element x y z (fractional)
1 Cu 0.2388 0.7388 0.4775  2 Mn 2.57, 6 Hg 2.75-2.79
2 Hg 0.9822 0.9822 0.9644  2 Cu 2.75, 4 Mn 2.80, 2 Hg 3.01
3 Hg 0.7591 0.2591 0.5181  4 Cu 2.79, 2 Mn 2.89, 4 Hg 3.01-3.09
4 Mn 0.5200 0.5200 0.0400  2 Cu 2.57, 4 Hg 2.80

# 3
## ScCu2HgMo (GGA-PBEsol)

Data for an optimized crystal structure of ScCu2HgMo.

Formation enthalpy at 0 K = 1.434 eV per atom
Theoretical density = 7.08 Mg/m³

Unit cell a=4.6445 b=4.6445 c=5.0940 alpha=90.00 beta=90.00 gamma=90.00
Last column: nearest neighbours and their distance in Å.
Element x y z (fractional)
1 Sc 0.0000 0.0000 0.5000  2 Hg 2.55
2 Mo 0.5000 0.5000 0.5000  4 Sc 3.28, 8 Cu 3.45
3 Hg 0.0000 0.0000 0.0000  4 Cu 2.32, 2 Sc 2.55
4 Cu 0.0000 0.5000 0.0000  2 Hg 2.32
5 Cu 0.5000 0.0000 0.0000  2 Hg 2.32

# 4
## CuHgN2 (GGA-PBEsol)

Data for an optimized crystal structure of CuHgN2.

Theoretical density = 10.03 Mg/m³
Formation energy without anion corrections = 0.9795 eV per atom

Unit cell a=3.0439 b=3.0439 c=6.2777 alpha=75.97 beta=75.97 gamma=60.00
Last column: nearest neighbours and their distance in Å.
Element x y z (fractional)
1 Hg 0.0000 0.0000 0.0000  2 N 2.10
2 Cu 0.5000 0.5000 0.5000  6 N 1.98
3 N 0.8841 0.8841 0.3478  3 Cu 1.98, 1 Hg 2.10
4 N 0.1159 0.1159 0.6522  3 Cu 1.98, 1 Hg 2.10

# 5
## Na3CuHg (GGA-PBEsol)

Data for an optimized crystal structure of Na3CuHg.

Formation enthalpy at 0 K = 0.517 eV per atom
Theoretical density = 3.24 Mg/m³

Unit cell a=5.5490 b=5.5490 c=5.5490 alpha=90.00 beta=90.00 gamma=90.00
Last column: nearest neighbours and their distance in Å.
Element x y z (fractional)
1 Na 0.0000 0.5000 0.0000  2 Hg 2.77
2 Na 0.0000 0.0000 0.5000  2 Hg 2.77
3 Na 0.5000 0.0000 0.0000  2 Hg 2.77
4 Hg 0.0000 0.0000 0.0000  6 Na 2.77
5 Cu 0.5000 0.5000 0.5000  12 Na 3.92

# 6
## NbCuHg3 (GGA-PBEsol)

Data for an optimized crystal structure of NbCuHg3.

Formation enthalpy at 0 K = 1.282 eV per atom
Theoretical density = 8.49 Mg/m³

Unit cell a=5.2931 b=5.2931 c=5.2931 alpha=90.00 beta=90.00 gamma=90.00
Last column: nearest neighbours and their distance in Å.
Element x y z (fractional)
1 Nb 0.0000 0.0000 0.0000  6 Hg 2.65
2 Hg 0.0000 0.5000 0.0000  2 Nb 2.65
3 Hg 0.0000 0.0000 0.5000  2 Nb 2.65
4 Hg 0.5000 0.0000 0.0000  2 Nb 2.65
5 Cu 0.5000 0.5000 0.5000  12 Hg 3.74

# 7
## ScNbCuHg2 (GGA-PBEsol)

Data for an optimized crystal structure of ScNbCuHg2.

Formation enthalpy at 0 K = 1.321 eV per atom
Theoretical density = 8.03 Mg/m³

Unit cell a=4.6196 b=5.1948 c=5.1948 alpha=90.00 beta=90.00 gamma=90.00
Last column: nearest neighbours and their distance in Å.
Element x y z (fractional)
1 Sc 0.0000 0.0000 0.0000  2 Nb 2.31
2 Nb 0.5000 0.0000 0.0000  2 Sc 2.31
3 Hg 0.0000 0.0000 0.5000  2 Sc 2.60
4 Hg 0.0000 0.5000 0.0000  2 Sc 2.60
5 Cu 0.5000 0.5000 0.5000  8 Hg 3.48, 4 Nb 3.67

# 8
## CuNiHg2 (GGA-PBEsol)

Data for an optimized crystal structure of CuNiHg2.

Formation enthalpy at 0 K = 0.285 eV per atom
Theoretical density = 13.32 Mg/m³

Unit cell a=2.9471 b=2.9471 c=8.8424 alpha=80.41 beta=80.41 gamma=60.00
Last column: nearest neighbours and their distance in Å.
Element x y z (fractional)
1 Cu 0.2405 0.2405 0.2785  3 Ni 2.42
2 Hg 0.9897 0.9897 0.0308  3 Cu 2.74, 6 Hg 2.95
3 Hg 0.7621 0.7621 0.7138  3 Ni 2.67, 6 Hg 2.95
4 Ni 0.5077 0.5077 0.4769  3 Cu 2.42, 3 Hg 2.67

# 9
## CuNiHg (GGA-PBEsol)

Data for an optimized crystal structure of CuNiHg.

Formation enthalpy at 0 K = 0.298 eV per atom
Theoretical density = 12.49 Mg/m³
Energy relative to the lowest polymorph listed for this composition = 0 meV per atom

Unit cell a=2.8407 b=2.8407 c=6.1404 alpha=90.00 beta=90.00 gamma=120.00
Last column: nearest neighbours and their distance in Å.
Element x y z (fractional)
1 Cu 0.0000 0.0000 0.0229  3 Ni 2.43
2 Hg 0.6667 0.3333 0.6620  3 Ni 2.69, 3 Cu 2.76, 6 Hg 2.84
3 Ni 0.3333 0.6667 0.3152  3 Cu 2.43, 3 Hg 2.69

# 10
## CuNiHg (GGA-PBEsol)

Data for an optimized crystal structure of CuNiHg.

Formation enthalpy at 0 K = 0.546 eV per atom
Theoretical density = 10.67 Mg/m³
Energy relative to the lowest polymorph listed for this composition = 248 meV per atom

Unit cell a=4.1422 b=4.1422 c=4.1422 alpha=60.00 beta=60.00 gamma=60.00
Last column: nearest neighbours and their distance in Å.
Element x y z (fractional)
1 Cu 0.5000 0.5000 0.5000  4 Hg 2.54
2 Hg 0.2500 0.2500 0.2500  4 Ni 2.54, 4 Cu 2.54
3 Ni 0.0000 0.0000 0.0000  4 Hg 2.54

# 11
## Cu2NiHg (GGA-PBEsol)

Data for an optimized crystal structure of Cu2NiHg.

Formation enthalpy at 0 K = 0.105 eV per atom
Theoretical density = 12.24 Mg/m³

Unit cell a=3.7352 b=3.7352 c=4.5924 alpha=114.00 beta=114.00 gamma=90.00
Last column: nearest neighbours and their distance in Å.
Element x y z (fractional)
1 Cu 0.7500 0.2500 0.5000  4 Cu 2.64, 4 Ni 2.65, 4 Hg 2.65
2 Cu 0.2500 0.7500 0.5000  4 Cu 2.64, 4 Ni 2.65, 4 Hg 2.65
3 Hg 0.5000 0.5000 0.0000  4 Ni 2.64, 8 Cu 2.65
4 Ni 0.0000 0.0000 0.0000  4 Hg 2.64, 8 Cu 2.65

# 12
## CuNiHg2 (GGA-PBEsol)

Data for an optimized crystal structure of CuNiHg2.

Formation enthalpy at 0 K = 0.141 eV per atom
Theoretical density = 13.84 Mg/m³

Unit cell a=3.0383 b=3.0383 c=6.8053 alpha=90.00 beta=90.00 gamma=90.00
Last column: nearest neighbours and their distance in Å.
Element x y z (fractional)
1 Cu 0.5000 0.5000 0.7126  4 Ni 2.47, 4 Hg 2.71
2 Hg 0.0000 0.0000 0.9565  4 Cu 2.71, 1 Ni 2.87, 4 Hg 3.04
3 Hg 0.5000 0.5000 0.2965  4 Ni 2.69, 1 Cu 2.83
4 Ni 0.0000 0.0000 0.5344  4 Cu 2.47, 4 Hg 2.69

# 13
## CuNiHg3 (GGA-PBEsol)

Data for an optimized crystal structure of CuNiHg3.

Formation enthalpy at 0 K = 0.591 eV per atom
Theoretical density = 10.61 Mg/m³

Unit cell a=4.8385 b=4.8385 c=4.8385 alpha=90.00 beta=90.00 gamma=90.00
Last column: nearest neighbours and their distance in Å.
Element x y z (fractional)
1 Ni 0.0000 0.0000 0.0000  6 Hg 2.42
2 Hg 0.0000 0.5000 0.0000  2 Ni 2.42
3 Hg 0.0000 0.0000 0.5000  2 Ni 2.42
4 Hg 0.5000 0.0000 0.0000  2 Ni 2.42
5 Cu 0.5000 0.5000 0.5000  12 Hg 3.42

# 14
## Cu2NiHg (GGA-PBEsol)

Data for an optimized crystal structure of Cu2NiHg.

Formation enthalpy at 0 K = 0.112 eV per atom
Theoretical density = 12.18 Mg/m³

Unit cell a=2.9540 b=2.9540 c=6.0346 alpha=90.00 beta=90.00 gamma=90.00
Last column: nearest neighbours and their distance in Å.
Element x y z (fractional)
1 Cu 0.0000 0.0000 0.9967  4 Ni 2.45, 4 Cu 2.46
2 Cu 0.5000 0.5000 0.2118  4 Cu 2.46, 1 Ni 2.57, 4 Hg 2.74
3 Hg 0.0000 0.0000 0.5058  4 Ni 2.69, 5 Cu 2.74-2.96, 4 Hg 2.95
4 Ni 0.5000 0.5000 0.7857  5 Cu 2.45-2.57, 4 Hg 2.69

# 15
## Cu3NiHgSe4 (GGA-PBEsol)

Data for an optimized crystal structure of Cu3NiHgSe4.

Theoretical density = 6.84 Mg/m³
Formation energy without anion corrections = -0.0833 eV per atom

Unit cell a=5.7065 b=5.7065 c=5.7065 alpha=90.00 beta=90.00 gamma=90.00
Last column: nearest neighbours and their distance in Å.
Element x y z (fractional)
1 Cu 0.0000 0.5000 0.0000  4 Se 2.42
2 Cu 0.0000 0.0000 0.5000  4 Se 2.42
3 Cu 0.5000 0.0000 0.0000  4 Se 2.42
4 Ni 0.0000 0.0000 0.0000  4 Se 2.30
5 Hg 0.5000 0.5000 0.5000  4 Se 2.64
6 Se 0.2329 0.2329 0.2329  1 Ni 2.30, 3 Cu 2.42
7 Se 0.7671 0.7671 0.2329  1 Ni 2.30, 3 Cu 2.42
8 Se 0.2329 0.7671 0.7671  1 Ni 2.30, 3 Cu 2.42
9 Se 0.7671 0.2329 0.7671  1 Ni 2.30, 3 Cu 2.42

# 16
## Cu3Hg2Te6O16 (GGA-PBEsol)

Data for an optimized crystal structure of Cu3Hg2Te6O16.

Theoretical density = 6.43 Mg/m³
Formation energy without anion corrections = -0.8398 eV per atom

Unit cell a=8.6082 b=8.6082 c=11.2456 alpha=90.00 beta=90.00 gamma=90.00
Last column: nearest neighbours and their distance in Å.
Element x y z (fractional)
1 Cu 0.5000 0.0000 0.3225  4 O 1.90
2 Cu 0.0000 0.5000 0.6775  4 O 1.90
3 Cu 0.0000 0.5000 0.3973  4 O 1.91
4 Cu 0.5000 0.0000 0.6027  4 O 1.91
5 Cu 0.5000 0.0000 0.0647  4 O 1.93
6 Cu 0.0000 0.5000 0.9353  4 O 1.93
7 Hg 0.3938 0.6062 0.5000  4 O 2.37-2.62, 1 Hg 2.59
8 Hg 0.6062 0.3938 0.5000  4 O 2.37-2.62, 1 Hg 2.59
9 Hg 0.8938 0.8938 0.5000  4 O 2.37-2.62, 1 Hg 2.59
10 Hg 0.1062 0.1062 0.5000  4 O 2.37-2.62, 1 Hg 2.59
11 Te 0.1996 0.7871 0.2661  3 O 1.91-1.94
12 Te 0.8004 0.2129 0.2661  3 O 1.91-1.94
13 Te 0.6996 0.7129 0.7339  3 O 1.91-1.94
14 Te 0.3004 0.2871 0.7339  3 O 1.91-1.94
15 Te 0.7871 0.1996 0.7339  3 O 1.91-1.94
16 Te 0.2129 0.8004 0.7339  3 O 1.91-1.94
17 Te 0.7129 0.6996 0.2661  3 O 1.91-1.94
18 Te 0.2871 0.3004 0.2661  3 O 1.91-1.94
19 Te 0.3268 0.6732 0.0000  4 O 1.93-2.10
20 Te 0.6732 0.3268 0.0000  4 O 1.93-2.10
21 Te 0.8268 0.8268 0.0000  4 O 1.93-2.10
22 Te 0.1732 0.1732 0.0000  4 O 1.93-2.10
23 O 0.4100 0.7980 0.3194  1 Cu 1.90, 1 Te 1.91
24 O 0.5900 0.2020 0.3194  1 Cu 1.90, 1 Te 1.91
25 O 0.9100 0.7020 0.6806  1 Cu 1.90, 1 Te 1.91
26 O 0.0900 0.2980 0.6806  1 Cu 1.90, 1 Te 1.91
27 O 0.7980 0.4100 0.6806  1 Cu 1.90, 1 Te 1.91
28 O 0.2020 0.5900 0.6806  1 Cu 1.90, 1 Te 1.91
29 O 0.7020 0.9100 0.3194  1 Cu 1.90, 1 Te 1.91
30 O 0.2980 0.0900 0.3194  1 Cu 1.90, 1 Te 1.91
31 O 0.2350 0.6083 0.1654  2 Te 1.94-2.10
32 O 0.7650 0.3917 0.1654  2 Te 1.94-2.10
33 O 0.7350 0.8917 0.8346  2 Te 1.94-2.10
34 O 0.2650 0.1083 0.8346  2 Te 1.94-2.10
35 O 0.6083 0.2350 0.8346  2 Te 1.94-2.10
36 O 0.3917 0.7650 0.8346  2 Te 1.94-2.10
37 O 0.8917 0.7350 0.1654  2 Te 1.94-2.10
38 O 0.1083 0.2650 0.1654  2 Te 1.94-2.10
39 O 0.1557 0.6587 0.4014  1 Cu 1.91, 1 Te 1.92
40 O 0.8443 0.3413 0.4014  1 Cu 1.91, 1 Te 1.92
41 O 0.6557 0.8413 0.5986  1 Cu 1.91, 1 Te 1.92
42 O 0.3443 0.1587 0.5986  1 Cu 1.91, 1 Te 1.92
43 O 0.6587 0.1557 0.5986  1 Cu 1.91, 1 Te 1.92
44 O 0.3413 0.8443 0.5986  1 Cu 1.91, 1 Te 1.92
45 O 0.8413 0.6557 0.4014  1 Cu 1.91, 1 Te 1.92
46 O 0.1587 0.3443 0.4014  1 Cu 1.91, 1 Te 1.92
47 O 0.3118 0.8791 0.0660  1 Cu 1.93, 1 Te 1.93
48 O 0.6882 0.1209 0.0660  1 Cu 1.93, 1 Te 1.93
49 O 0.8118 0.6209 0.9340  1 Cu 1.93, 1 Te 1.93
50 O 0.1882 0.3791 0.9340  1 Cu 1.93, 1 Te 1.93
51 O 0.8791 0.3118 0.9340  1 Cu 1.93, 1 Te 1.93
52 O 0.1209 0.6882 0.9340  1 Cu 1.93, 1 Te 1.93
53 O 0.6209 0.8118 0.0660  1 Cu 1.93, 1 Te 1.93
54 O 0.3791 0.1882 0.0660  1 Cu 1.93, 1 Te 1.93

# 17
## Cu2HgOs (GGA-PBEsol)

Data for an optimized crystal structure of Cu2HgOs.

Formation enthalpy at 0 K = 0.608 eV per atom
Theoretical density = 15.27 Mg/m³

Unit cell a=3.9817 b=4.5321 c=3.9817 alpha=63.94 beta=90.00 gamma=116.06
Last column: nearest neighbours and their distance in Å.
Element x y z (fractional)
1 Cu 0.2500 0.5000 0.2500  4 Os 2.67, 4 Hg 2.67, 4 Cu 2.82
2 Cu 0.7500 0.5000 0.7500  4 Hg 2.67, 4 Os 2.67, 4 Cu 2.82
3 Hg 0.5000 0.0000 0.5000  8 Cu 2.67, 4 Os 2.82
4 Os 0.0000 0.0000 0.0000  8 Cu 2.67, 4 Hg 2.82

# 18
## Cu2HgOs (GGA-PBEsol)

Data for an optimized crystal structure of Cu2HgOs.

Formation enthalpy at 0 K = 0.406 eV per atom
Theoretical density = 15.09 Mg/m³

Unit cell a=2.7027 b=2.7027 c=7.8009 alpha=90.00 beta=90.00 gamma=90.00
Last column: nearest neighbours and their distance in Å.
Element x y z (fractional)
1 Cu 0.0000 0.0000 0.7297  4 Os 2.62, 4 Cu 2.70, 4 Hg 2.85
2 Cu 0.0000 0.0000 0.2703  4 Os 2.62, 4 Cu 2.70, 4 Hg 2.85
3 Hg 0.5000 0.5000 0.0000  4 Hg 2.70, 8 Cu 2.85
4 Os 0.5000 0.5000 0.5000  8 Cu 2.62, 4 Os 2.70

# 19
## Cu2HgOs (GGA-PBEsol)

Data for an optimized crystal structure of Cu2HgOs.

Formation enthalpy at 0 K = 0.581 eV per atom
Theoretical density = 14.78 Mg/m³

Unit cell a=2.7745 b=4.6851 c=5.2402 alpha=116.55 beta=105.35 gamma=90.00
Last column: nearest neighbours and their distance in Å.
Element x y z (fractional)
1 Cu 0.7424 0.7424 0.4848  2 Os 2.58, 2 Hg 2.69, 6 Cu 2.73-2.77
2 Cu 0.2576 0.2576 0.5152  2 Os 2.58, 2 Hg 2.69, 6 Cu 2.73-2.77
3 Hg 0.5000 0.0000 0.0000  4 Cu 2.69, 4 Os 2.72, 2 Hg 2.77
4 Os 0.0000 0.5000 0.0000  4 Cu 2.58, 4 Hg 2.72, 2 Os 2.77

# 20
## Cu2HgOs (GGA-PBEsol)

Data for an optimized crystal structure of Cu2HgOs.

Formation enthalpy at 0 K = 0.525 eV per atom
Theoretical density = 14.78 Mg/m³

Unit cell a=2.6856 b=2.6856 c=8.9670 alpha=90.00 beta=90.00 gamma=115.85
Last column: nearest neighbours and their distance in Å.
Element x y z (fractional)
1 Cu 0.0000 0.0000 0.9907  6 Cu 2.42-2.69, 2 Os 2.54
2 Cu 0.5000 0.5000 0.7727  6 Cu 2.42-2.69
3 Hg 0.0000 0.0000 0.5120  6 Hg 2.69-2.85, 2 Cu 2.74, 2 Os 2.94
4 Os 0.5000 0.5000 0.2247  2 Cu 2.54, 4 Os 2.69

no.,calculated total energy (eV per atom)
1,-4.27
2,-3.52
3,-4.09
4,-4.51
5,-1.30
6,-2.09
7,-3.26
8,-2.62
9,-3.39
10,-3.14
11,-3.74
12,-2.76
13,-1.85
14,-3.74
15,-3.99
16,-5.26
17,-4.75
18,-4.96
19,-4.78
20,-4.84